Record 1
K2Rb4Ge, relaxed, DFT GGA-PBE; energy = -1.3798 eV per atom; total moment = 1.25 μB per formula unit
1.0
-3.4801 3.4801 11.3060
3.4801 -3.4801 11.3060
3.4801 3.4801 -11.3060
K Rb Ge
2 4 1
Cartesian
0.0000 0.0000 3.3484 K
0.0000 0.0000 19.2635 K
3.4801 0.0000 0.0000 Rb
0.0000 0.0000 7.8017 Rb
0.0000 3.4801 0.0000 Rb
0.0000 0.0000 14.8103 Rb
0.0000 0.0000 11.3060 Ge

***

Record 2
K2RbGeS4, relaxed, DFT GGA-PBE; raw formation energy = -6.4 eV per formula unit; energy = -3.8351 eV per atom; total moment = 1.11 μB per formula unit
1.0
-3.9868 3.9868 4.2538
3.9868 -3.9868 4.2538
3.9868 3.9868 -4.2538
K Rb Ge S
2 1 1 4
Cartesian
3.9868 0.0000 2.1269 K
0.0000 3.9868 2.1269 K
0.0000 0.0000 0.0000 Rb
0.0000 0.0000 4.2538 Ge
1.3154 -1.3154 3.0262 S
2.6714 2.6714 1.2276 S
-1.3154 1.3154 3.0262 S
1.3154 1.3154 5.4814 S

***

Record 3
KRb2GeSb2, relaxed, DFT GGA-PBE; raw formation energy = -1.9 eV per formula unit; energy = -2.9617 eV per atom; total moment = 0.00 μB per formula unit
1.0
-4.3194 7.9138 3.6780
4.3194 -7.9138 3.6780
4.3194 7.9138 -3.6780
K Rb Ge Sb
2 4 2 4
Cartesian
0.0000 0.0000 1.8390 K
0.0000 0.0000 5.5170 K
6.0390 2.7777 0.0000 Rb
1.7196 5.1362 0.0000 Rb
2.5998 2.7777 3.6780 Rb
-1.7196 5.1362 3.6780 Rb
4.3194 0.0000 1.8390 Ge
0.0000 7.9138 1.8390 Ge
2.6809 1.4413 0.0000 Sb
2.6809 -1.4413 3.6780 Sb
1.6385 9.3551 0.0000 Sb
1.6385 6.4725 3.6780 Sb

***

Record 4
KRb2GeSe4, relaxed, DFT GGA-PBE; raw formation energy = -6.3 eV per formula unit; energy = -3.4881 eV per atom; total moment = 1.00 μB per formula unit
1.0
-4.1814 4.1814 4.0717
4.1814 -4.1814 4.0717
4.1814 4.1814 -4.0717
K Rb Ge Se
1 2 1 4
Cartesian
0.0000 0.0000 0.0000 K
4.1814 0.0000 0.0000 Rb
0.0000 4.1814 0.0000 Rb
0.0000 0.0000 4.0717 Ge
2.8110 2.8110 -1.4158 Se
1.3705 1.3705 2.6559 Se
1.3705 -1.3705 5.4875 Se
-1.3705 1.3705 5.4875 Se

***

Record 5
KRbTaGe2, relaxed, DFT GGA-PBE; energy = -2.5766 eV per atom; total moment = 2.59 μB per formula unit
1.0
5.8288 0.0000 0.0000
0.0000 5.8288 0.0000
0.0000 0.0000 5.5569
K Rb Ta Ge
1 1 1 2
Cartesian
0.0000 0.0000 0.0000 K
2.9144 2.9144 2.7784 Rb
2.9144 2.9144 0.0000 Ta
0.0000 2.9144 2.7784 Ge
2.9144 0.0000 2.7784 Ge

***

Record 6
KRb2TcGe, relaxed, DFT GGA-PBE; energy = -2.9834 eV per atom; total moment = 2.46 μB per formula unit
1.0
7.0033 0.0000 0.0000
0.0000 7.0033 0.0000
0.0000 0.0000 4.8247
K Rb Tc Ge
1 2 1 1
Cartesian
0.0000 0.0000 0.0000 K
0.0000 3.5016 2.4123 Rb
3.5016 0.0000 2.4123 Rb
3.5016 3.5016 0.0000 Tc
3.5016 3.5016 2.4123 Ge